An optimized crystal structure of HfTaS2N. Source: Alexandria, functional PBEsol.

abc: 4.6700 4.6700 5.4726
angles: 90.00 90.00 90.00
Last column: nearest neighbours and their distance in Å.
Space group P4/mmm (No. 123)
Inequivalent atoms, fractional coordinates:
1 Hf 0.0000 0.0000 0.0000  4 S 2.33
2 Ta 0.0000 0.0000 0.5000  2 Hf 2.74
3 S 0.0000 0.5000 0.0000  2 Hf 2.33
4 N 0.5000 0.5000 0.5000  4 Ta 3.30, 8 S 3.60

Spin magnetization, μB/f.u.: 0.2
ΔE_f (raw), eV/f.u.: 7.795